# 1
First-principles (PBE) data for a relaxed AlFe2Re crystal, as listed in Alexandria via LeMat-Bulk.

Properties
SG: Pmm2 (25)

Lattice parameters (Å, degrees): 2.676 3.653 5.256 90.00 90.00 90.00
Sites, in units of the cell vectors:
Al  0.000  0.000  0.000
Fe  0.000  0.000  0.488
Fe  0.500  0.500  0.229
Re  0.500  0.500  0.710

# 2
First-principles (PBE) data for a relaxed AlFe2Re crystal, as listed in Alexandria via LeMat-Bulk.

Properties
SG: Cmmm (65)

Lattice parameters (Å, degrees): 4.188 4.188 2.832 90.00 90.00 92.82
Sites, in units of the cell vectors:
Al  0.000  0.000  0.000
Fe  0.000  0.500  0.500
Fe  0.500  0.000  0.500
Re  0.500  0.500  0.000

# 3
First-principles (PBE) data for a relaxed AlFeRe crystal, as listed in Alexandria via LeMat-Bulk.

Properties
SG: P6_222 (180)

Lattice parameters (Å, degrees): 4.904 4.904 11.943 90.00 90.00 120.00
Sites, in units of the cell vectors:
Al  0.000  0.500  0.344
Al  0.000  0.500  0.989
Al  0.500  0.000  0.322
Al  0.500  0.000  0.678
Al  0.500  0.500  0.011
Al  0.500  0.500  0.656
Fe  0.294  0.647  0.167
Fe  0.353  0.647  0.833
Fe  0.353  0.706  0.500
Fe  0.647  0.294  0.500
Fe  0.647  0.353  0.833
Fe  0.706  0.353  0.167
Re  0.000  0.000  0.167
Re  0.000  0.000  0.500
Re  0.000  0.000  0.833
Re  0.000  0.500  0.667
Re  0.500  0.000  0.000
Re  0.500  0.500  0.333

# 4
First-principles (PBE) data for a relaxed AlFe2Re crystal, as listed in Alexandria via LeMat-Bulk.

Properties
SG: I-42d (122)

Lattice parameters (Å, degrees): 5.373 5.373 5.373 102.93 102.93 123.53
Sites, in units of the cell vectors:
Al  0.000  0.000  0.000
Al  0.750  0.250  0.500
Fe  0.133  0.125  0.508
Fe  0.375  0.867  0.992
Fe  0.617  0.625  0.492
Fe  0.875  0.383  0.008
Re  0.250  0.750  0.500
Re  0.500  0.500  0.000

# 5
First-principles (PBE) data for a relaxed AlFeRe4 crystal, as listed in Alexandria via LeMat-Bulk.

Properties
SG: F-43m (216)

Lattice parameters (Å, degrees): 5.152 5.152 5.152 60.00 60.00 60.00
Sites, in units of the cell vectors:
Al  0.000  0.000  0.000
Fe  0.250  0.250  0.250
Re  0.125  0.625  0.625
Re  0.625  0.125  0.625
Re  0.625  0.625  0.125
Re  0.625  0.625  0.625

# 6
First-principles (PBE) data for a relaxed AlFeRe2 crystal, as listed in Alexandria via LeMat-Bulk.

Properties
SG: Pmmm (47)

Lattice parameters (Å, degrees): 3.090 4.231 4.242 90.00 90.00 90.00
Sites, in units of the cell vectors:
Al  0.000  0.000  0.000
Fe  0.500  0.000  0.500
Re  0.000  0.500  0.500
Re  0.500  0.500  0.000

# 7
First-principles (PBE) data for a relaxed AlFe2Re crystal, as listed in Alexandria via LeMat-Bulk.

Properties
SG: F-43m (216)

Lattice parameters (Å, degrees): 4.161 4.161 4.161 60.00 60.00 60.00
Sites, in units of the cell vectors:
Al  0.000  0.000  0.000
Fe  0.500  0.500  0.500
Fe  0.750  0.750  0.750
Re  0.250  0.250  0.250

# 8
First-principles (PBE) data for a relaxed AlFe2Re crystal, as listed in Alexandria via LeMat-Bulk.

Properties
SG: P4/mmm (123)

Lattice parameters (Å, degrees): 2.777 2.777 6.297 90.00 90.00 90.00
Sites, in units of the cell vectors:
Al  0.000  0.000  0.000
Fe  0.500  0.500  0.240
Fe  0.500  0.500  0.760
Re  0.000  0.000  0.500

DOS(E_F) (computed, states/eV/cell): 3.0; 3.9; 18.8; 8.3; 6.0; 3.2; 3.0; 3.8
E_form (computed, eV/atom): -0.04; -0.08; 0.36; 0.56; 0.46; -0.01; -0.03; -0.18